[1]
LiV2AuCl | PBE | relaxed

**Energy relative to the elements, uncorrected**: 0.720 eV per atom

a b c (Å): 4.246 5.014 4.246
angles (deg): 90.00 90.00 90.00
Element x y z (fractional)
Au 0.000 0.500 0.000
Li 0.500 0.500 0.500
Cl 0.000 0.000 0.000
V 0.000 0.000 0.500
V 0.500 0.000 0.000

[2]
Sr2BiSb | PBE | relaxed

**Energy relative to the elements, uncorrected**: -0.633 eV per atom
**Relative energy among the computed polymorphs**: 0.1673 eV per atom

a b c (Å): 9.024 9.024 7.338
angles (deg): 52.06 52.06 90.00
Element x y z (fractional)
Bi 0.750 0.250 0.500
Bi 0.000 0.000 0.000
Sr 0.616 0.125 0.250
Sr 0.875 0.866 0.750
Sr 0.134 0.625 0.250
Sr 0.375 0.384 0.750
Sb 0.500 0.500 0.000
Sb 0.250 0.750 0.500

[3]
MgTlRe2 | PBE | relaxed

**Relative energy among the computed polymorphs**: 0.5617 eV per atom
**Calculated formation energy**: 850 meV/atom

a b c (Å): 9.958 9.958 9.958
angles (deg): 16.61 16.61 16.61
Element x y z (fractional)
Mg 0.750 0.750 0.750
Tl 0.250 0.250 0.250
Re 0.496 0.496 0.496
Re 0.004 0.004 0.004

[4]
Ac6Tb2Pm5 | PBE | relaxed

**Calculated formation energy**: 151 meV/atom

a b c (Å): 3.762 11.386 23.993
angles (deg): 90.00 90.00 90.00
Element x y z (fractional)
Tb 0.000 0.835 0.233
Tb 0.000 0.335 0.267
Tb 0.000 0.165 0.767
Tb 0.000 0.665 0.733
Pm 0.500 0.335 0.497
Pm 0.500 0.665 0.503
Pm 0.500 0.585 0.250
Pm 0.500 0.085 0.250
Pm 0.500 0.000 0.500
Pm 0.500 0.165 0.997
Pm 0.500 0.835 0.003
Pm 0.500 0.500 0.000
Pm 0.500 0.415 0.750
Pm 0.500 0.915 0.750
Ac 0.000 0.353 0.885
Ac 0.000 0.647 0.115
Ac 0.500 0.334 0.134
Ac 0.500 0.666 0.866
Ac 0.000 0.147 0.385
Ac 0.000 0.853 0.615
Ac 0.000 0.481 0.613
Ac 0.000 0.981 0.887
Ac 0.500 0.166 0.634
Ac 0.000 0.519 0.387
Ac 0.500 0.834 0.366
Ac 0.000 0.019 0.113